[1]
## PaSn2PbO8 (PBE-GGA)

Data for a relaxed PaSn2PbO8 crystal.

Computed properties:
Total moment = 0.000 μB per atom
DFT total energy = -0.2542 hartree per atom

The structure in CIF format:
```
data_PaSn2PbO8
_space_group_name_H-M_alt 'I -4 m 2'
_space_group_IT_number 119
_space_group_name_Hall 'I -4 -2'
_cell_length_a 7.2490
_cell_length_b 7.2490
_cell_length_c 7.1152
_cell_angle_alpha 90.00
_cell_angle_beta 90.00
_cell_angle_gamma 90.00
loop_
_atom_site_label
_atom_site_type_symbol
_atom_site_fract_x
_atom_site_fract_y
_atom_site_fract_z
Pa1 Pa 0.0000 0.0000 0.0000
Sn1 Sn 0.0000 0.0000 0.5000
Sn2 Sn 0.0000 0.5000 0.2500
Pb1 Pb 0.0000 0.5000 0.7500
O1 O 0.0000 0.1810 0.7083
O2 O 0.0000 0.2990 0.0634
```

---

[2]
## SrPaPbO5 (PBE-GGA)

Data for a relaxed SrPaPbO5 crystal.

Computed properties:
Total moment = 0.000 μB per atom
DFT total energy = -0.2765 hartree per atom

The structure in CIF format:
```
data_SrPaPbO5
_space_group_name_H-M_alt 'C 1 2/c 1'
_space_group_IT_number 15
_cell_length_a 8.3268
_cell_length_b 10.1381
_cell_length_c 8.5317
_cell_angle_alpha 90.00
_cell_angle_beta 119.18
_cell_angle_gamma 90.00
loop_
_space_group_symop_operation_xyz
'x,y,z'
'-x,-y,-z'
'-x,y,-z+1/2'
'x,-y,z+1/2'
'x+1/2,y+1/2,z'
'-x+1/2,-y+1/2,-z'
'-x+1/2,y+1/2,-z+1/2'
'x+1/2,-y+1/2,z+1/2'
loop_
_atom_site_label
_atom_site_type_symbol
_atom_site_fract_x
_atom_site_fract_y
_atom_site_fract_z
Sr1 Sr 0.0000 0.1902 0.2500
Pa1 Pa 0.0000 0.5000 0.0000
Pb1 Pb 0.0000 0.1693 0.7500
O1 O 0.0000 0.4504 0.2500
O2 O 0.0404 0.2842 0.5437
O3 O 0.2039 0.0097 0.8669
```

---

[3]
## SrPaPbO6 (PBE-GGA)

Data for a relaxed SrPaPbO6 crystal.

Computed properties:
Total moment = 0.113 μB per atom
DFT total energy = -0.2618 hartree per atom

The structure in CIF format:
```
data_SrPaPbO6
_space_group_name_H-M_alt 'P 3 1 2'
_space_group_IT_number 149
_cell_length_a 5.8453
_cell_length_b 5.8453
_cell_length_c 4.8547
_cell_angle_alpha 90.00
_cell_angle_beta 90.00
_cell_angle_gamma 120.00
loop_
_space_group_symop_operation_xyz
'x,y,z'
'-y,x-y,z'
'-x+y,-x,z'
'-y,-x,-z'
'-x+y,y,-z'
'x,x-y,-z'
loop_
_atom_site_label
_atom_site_type_symbol
_atom_site_fract_x
_atom_site_fract_y
_atom_site_fract_z
Sr1 Sr 0.0000 0.0000 0.0000
Pa1 Pa 0.6667 0.3333 0.5000
Pb1 Pb 0.3333 0.6667 0.0000
O1 O 0.3753 0.0054 0.2501
```

---

[4]
## SrPaPb2O8 (PBE-GGA)

Data for a relaxed SrPaPb2O8 crystal.

Computed properties:
Total moment = 0.089 μB per atom
DFT total energy = -0.2421 hartree per atom

The structure in CIF format:
```
data_SrPaPb2O8
_space_group_name_H-M_alt 'I -4 m 2'
_space_group_IT_number 119
_space_group_name_Hall 'I -4 -2'
_cell_length_a 7.4547
_cell_length_b 7.4547
_cell_length_c 7.3347
_cell_angle_alpha 90.00
_cell_angle_beta 90.00
_cell_angle_gamma 90.00
loop_
_atom_site_label
_atom_site_type_symbol
_atom_site_fract_x
_atom_site_fract_y
_atom_site_fract_z
Sr1 Sr 0.0000 0.0000 0.0000
Pa1 Pa 0.0000 0.5000 0.2500
Pb1 Pb 0.0000 0.0000 0.5000
Pb2 Pb 0.0000 0.5000 0.7500
O1 O 0.0000 0.2057 0.3054
O2 O 0.0000 0.3282 0.9728
```

---

[5]
## SrPa2PbO8 (PBE-GGA)

Data for a relaxed SrPa2PbO8 crystal.

Computed properties:
Total moment = 0.000 μB per atom
DFT total energy = -0.2997 hartree per atom

The structure in CIF format:
```
data_SrPa2PbO8
_space_group_name_H-M_alt 'C m m m'
_space_group_IT_number 65
_space_group_name_Hall '-C 2 2'
_cell_length_a 7.2402
_cell_length_b 7.4463
_cell_length_c 7.2004
_cell_angle_alpha 90.00
_cell_angle_beta 90.00
_cell_angle_gamma 90.00
loop_
_atom_site_label
_atom_site_type_symbol
_atom_site_fract_x
_atom_site_fract_y
_atom_site_fract_z
Sr1 Sr 0.0000 0.0000 0.0000
Pa1 Pa 0.0000 0.5000 0.2519
Pb1 Pb 0.0000 0.0000 0.5000
O1 O 0.0000 0.3161 0.5000
O2 O 0.0000 0.3301 0.0000
O3 O 0.2062 0.0000 0.2775
```

---

[6]
## PaTaPbO6 (PBE-GGA)

Data for a relaxed PaTaPbO6 crystal.

Computed properties:
Total moment = 0.000 μB per atom
DFT total energy = -0.3256 hartree per atom

The structure in CIF format:
```
data_PaTaPbO6
_space_group_name_H-M_alt 'P -3 1 c'
_space_group_IT_number 163
_space_group_name_Hall '-P 3 2c'
_cell_length_a 5.7002
_cell_length_b 5.7002
_cell_length_c 10.4314
_cell_angle_alpha 90.00
_cell_angle_beta 90.00
_cell_angle_gamma 120.00
loop_
_atom_site_label
_atom_site_type_symbol
_atom_site_fract_x
_atom_site_fract_y
_atom_site_fract_z
Pa1 Pa 0.3333 0.6667 0.2500
Ta1 Ta 0.3333 0.6667 0.7500
Pb1 Pb 0.0000 0.0000 0.0000
O1 O 0.0226 0.3856 0.6456
```

---

[7]
## PaTaPb2O8 (PBE-GGA)

Data for a relaxed PaTaPb2O8 crystal.

Computed properties:
Total moment = 0.000 μB per atom
DFT total energy = -0.2906 hartree per atom

The structure in CIF format:
```
data_PaTaPb2O8
_space_group_name_H-M_alt 'C m m m'
_space_group_IT_number 65
_space_group_name_Hall '-C 2 2'
_cell_length_a 7.2716
_cell_length_b 7.4474
_cell_length_c 6.8482
_cell_angle_alpha 90.00
_cell_angle_beta 90.00
_cell_angle_gamma 90.00
loop_
_atom_site_label
_atom_site_type_symbol
_atom_site_fract_x
_atom_site_fract_y
_atom_site_fract_z
Pa1 Pa 0.0000 0.0000 0.0000
Ta1 Ta 0.0000 0.0000 0.5000
Pb1 Pb 0.0000 0.5000 0.2612
O1 O 0.0000 0.1724 0.2697
O2 O 0.2092 0.5000 0.0000
O3 O 0.2246 0.5000 0.5000
```

---

[8]
## TbPaPb2O6 (PBE-GGA)

Data for a relaxed TbPaPb2O6 crystal.

Computed properties:
Total moment = 0.000 μB per atom
DFT total energy = -0.2837 hartree per atom

The structure in CIF format:
```
data_TbPaPb2O6
_space_group_name_H-M_alt 'P 1 21/c 1'
_space_group_IT_number 14
_cell_length_a 6.0421
_cell_length_b 6.1991
_cell_length_c 10.5545
_cell_angle_alpha 90.00
_cell_angle_beta 124.79
_cell_angle_gamma 90.00
loop_
_space_group_symop_operation_xyz
'x,y,z'
'-x,-y,-z'
'-x,y+1/2,-z+1/2'
'x,-y+1/2,z+1/2'
loop_
_atom_site_label
_atom_site_type_symbol
_atom_site_fract_x
_atom_site_fract_y
_atom_site_fract_z
Tb1 Tb 0.0000 0.0000 0.0000
Pa1 Pa 0.5000 0.0000 0.5000
Pb1 Pb 0.2416 0.0286 0.7484
O1 O 0.1521 0.1904 0.4519
O2 O 0.2596 0.7053 0.4479
O3 O 0.3568 0.0266 0.2561
```

---

[9]
## TbPaPb2O8 (PBE-GGA)

Data for a relaxed TbPaPb2O8 crystal.

Computed properties:
Total moment = 0.000 μB per atom
DFT total energy = -0.2639 hartree per atom

The structure in CIF format:
```
data_TbPaPb2O8
_space_group_name_H-M_alt 'I -4 m 2'
_space_group_IT_number 119
_space_group_name_Hall 'I -4 -2'
_cell_length_a 7.2525
_cell_length_b 7.2525
_cell_length_c 7.2493
_cell_angle_alpha 90.00
_cell_angle_beta 90.00
_cell_angle_gamma 90.00
loop_
_atom_site_label
_atom_site_type_symbol
_atom_site_fract_x
_atom_site_fract_y
_atom_site_fract_z
Tb1 Tb 0.0000 0.0000 0.0000
Pa1 Pa 0.0000 0.5000 0.2500
Pb1 Pb 0.0000 0.0000 0.5000
Pb2 Pb 0.0000 0.5000 0.7500
O1 O 0.0000 0.1932 0.2879
O2 O 0.0000 0.3170 0.9712
```

---

[10]
## PaTcPbO6 (PBE-GGA)

Data for a relaxed PaTcPbO6 crystal.

Computed properties:
Total moment = 0.222 μB per atom
DFT total energy = -0.2933 hartree per atom

The structure in CIF format:
```
data_PaTcPbO6
_space_group_name_H-M_alt 'I m m a'
_space_group_IT_number 74
_space_group_name_Hall '-I 2b 2'
_cell_length_a 7.1508
_cell_length_b 7.3273
_cell_length_c 10.0628
_cell_angle_alpha 90.00
_cell_angle_beta 90.00
_cell_angle_gamma 90.00
loop_
_atom_site_label
_atom_site_type_symbol
_atom_site_fract_x
_atom_site_fract_y
_atom_site_fract_z
Pa1 Pa 0.0000 0.0000 0.0000
Tc1 Tc 0.2500 0.2500 0.2500
Pb1 Pb 0.0000 0.2500 0.5482
O1 O 0.0000 0.2500 0.1615
O2 O 0.0000 0.2500 0.8931
O3 O 0.2138 0.0629 0.3852
```

---

[11]
## Pa2TePbO8 (PBE-GGA)

Data for a relaxed Pa2TePbO8 crystal.

Computed properties:
Total moment = 0.000 μB per atom
DFT total energy = -0.2907 hartree per atom

The structure in CIF format:
```
data_Pa2TePbO8
_space_group_name_H-M_alt 'C m m m'
_space_group_IT_number 65
_space_group_name_Hall '-C 2 2'
_cell_length_a 7.2722
_cell_length_b 7.4245
_cell_length_c 7.2289
_cell_angle_alpha 90.00
_cell_angle_beta 90.00
_cell_angle_gamma 90.00
loop_
_atom_site_label
_atom_site_type_symbol
_atom_site_fract_x
_atom_site_fract_y
_atom_site_fract_z
Pa1 Pa 0.0000 0.0000 0.2481
Te1 Te 0.0000 0.5000 0.0000
Pb1 Pb 0.0000 0.5000 0.5000
O1 O 0.0000 0.1689 0.5000
O2 O 0.0000 0.1916 0.0000
O3 O 0.2081 0.5000 0.2169
```

---

[12]
## PaTe2PbO8 (PBE-GGA)

Data for a relaxed PaTe2PbO8 crystal.

Computed properties:
Total moment = 0.000 μB per atom
DFT total energy = -0.2388 hartree per atom

The structure in CIF format:
```
data_PaTe2PbO8
_space_group_name_H-M_alt 'P -3'
_space_group_IT_number 147
_cell_length_a 6.4431
_cell_length_b 6.4431
_cell_length_c 6.9286
_cell_angle_alpha 90.00
_cell_angle_beta 90.00
_cell_angle_gamma 120.00
loop_
_space_group_symop_operation_xyz
'x,y,z'
'-x,-y,-z'
'-y,x-y,z'
'y,-x+y,-z'
'-x+y,-x,z'
'x-y,x,-z'
loop_
_atom_site_label
_atom_site_type_symbol
_atom_site_fract_x
_atom_site_fract_y
_atom_site_fract_z
Pa1 Pa 0.0000 0.0000 0.0000
Te1 Te 0.3333 0.6667 0.2408
Pb1 Pb 0.0000 0.0000 0.5000
O1 O 0.1486 0.2998 0.2009
O2 O 0.3333 0.6667 0.5028
```